# 1
# BaTiO2

An optimized crystal structure of BaTiO2 (PBE-GGA, the Alexandria database).

The uncorrected formation energy comes out at -1.44 eV per atom. The calculation puts the polymorph energy (0 for the lowest one) at 78.8 kJ/mol of atoms.

The space group is Fm-3m (No. 225) and the conventional cell measures 6.2075, 6.2075 and 6.2075 Å, with angles of 90.00, 90.00 and 90.00 degrees. The inequivalent atoms are Ba at (0.0000, 0.0000, 0.0000), Ti at (0.0000, 0.0000, 0.5000) and O at (0.2500, 0.2500, 0.2500).


# 2
# BaTiO3

An optimized crystal structure of BaTiO3 (PBE-GGA, the Alexandria database).

The uncorrected formation energy comes out at -2.98 eV per atom.

The space group is C2/c (No. 15) and the conventional cell measures 11.0588, 11.3344 and 5.2136 Å, with angles of 90.00, 90.80 and 90.00 degrees. The inequivalent atoms are Ba at (0.2196, 0.1155, 0.3085), Ti at (0.0000, 0.2073, 0.7500), Ti at (0.0000, 0.4296, 0.2500), O at (0.0626, 0.2901, 0.4709), O at (0.1087, 0.4723, 0.9741) and O at (0.1298, 0.1154, 0.8309).